(1)
A plane-wave DFT calculation with GGA-PBE was carried out for a relaxed structure of Cs4Pm3TiTe8. Values from VASP.

Space group ... R-3m, No. 166

```
&SYSTEM
  ibrav = 0, nat = 16, ntyp = 4
/
ATOMIC_SPECIES
Cs 132.91 Cs.upf
Pm 145.00 Pm.upf
Ti 47.87 Ti.upf
Te 127.60 Te.upf
ATOMIC_POSITIONS crystal
Cs 0.0000 0.0000 0.0000
Cs 0.0000 0.5000 0.5000
Cs 0.5000 0.0000 0.5000
Cs 0.5000 0.5000 0.0000
Pm 0.0000 0.0000 0.5000
Pm 0.0000 0.5000 0.0000
Pm 0.5000 0.0000 0.0000
Ti 0.5000 0.5000 0.5000
Te 0.2324 0.2324 0.2324
Te 0.2511 0.7172 0.7172
Te 0.2828 0.2828 0.7489
Te 0.2828 0.7489 0.2828
Te 0.7172 0.2511 0.7172
Te 0.7172 0.7172 0.2511
Te 0.7489 0.2828 0.2828
Te 0.7676 0.7676 0.7676
CELL_PARAMETERS angstrom
4.5535 2.6290 8.9132
-4.5535 2.6290 8.9132
0.0000 -5.2579 8.9132
```

=====

(2)
A plane-wave DFT calculation with GGA-PBE was carried out for a relaxed structure of Cs3Pm2TlTe6. Values from VASP.

Space group ... C2/m, No. 12

```
&SYSTEM
  ibrav = 0, nat = 12, ntyp = 4
/
ATOMIC_SPECIES
Cs 132.91 Cs.upf
Pm 145.00 Pm.upf
Tl 204.38 Tl.upf
Te 127.60 Te.upf
ATOMIC_POSITIONS crystal
Cs 0.0000 0.0000 0.0000
Cs 0.3324 0.6676 0.0000
Cs 0.6676 0.3324 0.0000
Pm 0.1658 0.8342 0.5000
Pm 0.8342 0.1658 0.5000
Tl 0.5000 0.5000 0.5000
Te 0.1040 0.4364 0.3081
Te 0.2308 0.2308 0.6947
Te 0.4364 0.1040 0.3081
Te 0.5636 0.8960 0.6919
Te 0.7692 0.7692 0.3053
Te 0.8960 0.5636 0.6919
CELL_PARAMETERS angstrom
4.0350 -6.9671 0.0000
4.0350 6.9671 0.0000
-2.7051 0.0000 8.9664
```

=====

(3)
A plane-wave DFT calculation with GGA-PBE was carried out for a relaxed structure of CsPmTlTe3. Values from VASP.

Space group ... P2_1/m, No. 11

```
&SYSTEM
  ibrav = 0, nat = 12, ntyp = 4
/
ATOMIC_SPECIES
Cs 132.91 Cs.upf
Pm 145.00 Pm.upf
Tl 204.38 Tl.upf
Te 127.60 Te.upf
ATOMIC_POSITIONS crystal
Cs 0.2108 0.2500 0.2458
Cs 0.7892 0.7500 0.7542
Pm 0.3362 0.7500 0.8766
Pm 0.6638 0.2500 0.1234
Tl 0.0690 0.2500 0.6205
Tl 0.9310 0.7500 0.3795
Te 0.1270 0.2500 0.8907
Te 0.2422 0.7500 0.5779
Te 0.4650 0.7500 0.1558
Te 0.5350 0.2500 0.8442
Te 0.7578 0.2500 0.4221
Te 0.8730 0.7500 0.1093
CELL_PARAMETERS angstrom
10.1370 0.0000 0.0000
0.0000 4.7153 0.0000
-3.4847 0.0000 11.0643
```

=====

(4)
A plane-wave DFT calculation with GGA-PBE was carried out for a relaxed structure of CsPmTmTe3. Values from VASP.

Space group ... P2_1/m, No. 11

```
&SYSTEM
  ibrav = 0, nat = 12, ntyp = 4
/
ATOMIC_SPECIES
Cs 132.91 Cs.upf
Pm 145.00 Pm.upf
Tm 168.93 Tm.upf
Te 127.60 Te.upf
ATOMIC_POSITIONS crystal
Cs 0.0147 0.2500 0.2449
Cs 0.9853 0.7500 0.7551
Pm 0.4590 0.2500 0.1162
Pm 0.5410 0.7500 0.8838
Tm 0.4945 0.2500 0.6366
Tm 0.5055 0.7500 0.3634
Te 0.2379 0.7500 0.1226
Te 0.3207 0.2500 0.8157
Te 0.3333 0.7500 0.5366
Te 0.6667 0.2500 0.4634
Te 0.6793 0.7500 0.1843
Te 0.7621 0.2500 0.8774
CELL_PARAMETERS angstrom
9.7088 0.0000 0.0000
0.0000 5.0584 0.0000
-4.6774 0.0000 10.3630
```

=====

(5)
A plane-wave DFT calculation with GGA-PBE was carried out for a relaxed structure of Cs3PmTm2Te6. Values from VASP.

Space group ... C2/m, No. 12

```
&SYSTEM
  ibrav = 0, nat = 12, ntyp = 4
/
ATOMIC_SPECIES
Cs 132.91 Cs.upf
Pm 145.00 Pm.upf
Tm 168.93 Tm.upf
Te 127.60 Te.upf
ATOMIC_POSITIONS crystal
Cs 0.0000 0.0000 0.0000
Cs 0.3360 0.6640 0.0000
Cs 0.6640 0.3360 0.0000
Pm 0.5000 0.5000 0.5000
Tm 0.1669 0.8331 0.5000
Tm 0.8331 0.1669 0.5000
Te 0.0947 0.4367 0.3102
Te 0.2209 0.2209 0.6888
Te 0.4367 0.0947 0.3102
Te 0.5633 0.9053 0.6898
Te 0.7791 0.7791 0.3112
Te 0.9053 0.5633 0.6898
CELL_PARAMETERS angstrom
3.9469 -6.8365 0.0000
3.9469 6.8365 0.0000
-2.6330 0.0000 8.9186
```

=====

(6)
A plane-wave DFT calculation with GGA-PBE was carried out for a relaxed structure of Cs3Pm3TmTe8. Values from VASP.

Space group ... R-3m, No. 166

```
&SYSTEM
  ibrav = 0, nat = 15, ntyp = 4
/
ATOMIC_SPECIES
Cs 132.91 Cs.upf
Pm 145.00 Pm.upf
Tm 168.93 Tm.upf
Te 127.60 Te.upf
ATOMIC_POSITIONS crystal
Cs 0.0000 0.5000 0.5000
Cs 0.5000 0.0000 0.5000
Cs 0.5000 0.5000 0.0000
Pm 0.0000 0.0000 0.5000
Pm 0.0000 0.5000 0.0000
Pm 0.5000 0.0000 0.0000
Tm 0.5000 0.5000 0.5000
Te 0.2318 0.2318 0.2318
Te 0.2378 0.7263 0.7263
Te 0.2737 0.2737 0.7622
Te 0.2737 0.7622 0.2737
Te 0.7263 0.2378 0.7263
Te 0.7263 0.7263 0.2378
Te 0.7622 0.2737 0.2737
Te 0.7682 0.7682 0.7682
CELL_PARAMETERS angstrom
4.5064 2.6018 9.2412
-4.5064 2.6018 9.2412
0.0000 -5.2035 9.2412
```

=====

How do the records compare in uncorrected formation energy? In the order shown, they have -1.228; -1.048; -0.943; -1.258; -1.374; -1.328 eV per atom.
How do the records compare in mass density? In the order shown, they have 5.28; 5.46; 5.43; 5.41; 5.68; 5.17 g cm⁻³.
How do the records compare in volume? In the order shown, they have 640; 504; 529; 509; 481; 650 Å³/cell.